## i
First-principles (GGA-PBE) data for crystalline Ta2GaSe2 at its relaxed geometry, as listed in Alexandria via LeMat-Bulk.

## Properties
* magnetization: 0.000 μB per atom

CIF file:
```
data_Ta2GaSe2
_chemical_formula_sum 'Ta2 Ga1 Se2'
_cell_length_a 5.425
_cell_length_b 5.425
_cell_length_c 5.425
_cell_angle_alpha 123.99
_cell_angle_beta 123.99
_cell_angle_gamma 83.21
_space_group_name_H-M_alt 'P 1'
_space_group_IT_number 1
_space_group_name_Hall 'P 1'
loop_
_atom_site_label
_atom_site_type_symbol
_atom_site_fract_x
_atom_site_fract_y
_atom_site_fract_z
Ta1 Ta 0.153 0.153 0.000
Ta2 Ta 0.847 0.847 0.000
Ga1 Ga 0.500 0.500 0.000
Se1 Se 0.250 0.750 0.500
Se2 Se 0.750 0.250 0.500
```

***

## ii
First-principles (GGA-PBE) data for crystalline Ta2GaSe2 at its relaxed geometry, as listed in Alexandria via LeMat-Bulk.

## Properties
* magnetization: 0.000 μB per atom

CIF file:
```
data_Ta2GaSe2
_chemical_formula_sum 'Ta2 Ga1 Se2'
_cell_length_a 7.858
_cell_length_b 7.858
_cell_length_c 7.858
_cell_angle_alpha 151.15
_cell_angle_beta 151.15
_cell_angle_gamma 41.26
_space_group_name_H-M_alt 'P 1'
_space_group_IT_number 1
_space_group_name_Hall 'P 1'
loop_
_atom_site_label
_atom_site_type_symbol
_atom_site_fract_x
_atom_site_fract_y
_atom_site_fract_z
Ta1 Ta 0.250 0.750 0.500
Ta2 Ta 0.750 0.250 0.500
Ga1 Ga 0.000 0.000 0.000
Se1 Se 0.376 0.376 0.000
Se2 Se 0.624 0.624 0.000
```

***

## iii
First-principles (GGA-PBE) data for crystalline Ta2GaSe2 at its relaxed geometry, as listed in Alexandria via LeMat-Bulk.

## Properties
* magnetization: 0.000 μB per atom

CIF file:
```
data_Ta2GaSe2
_chemical_formula_sum 'Ta4 Ga2 Se4'
_cell_length_a 7.477
_cell_length_b 7.477
_cell_length_c 3.236
_cell_angle_alpha 90.00
_cell_angle_beta 90.00
_cell_angle_gamma 90.00
_space_group_name_H-M_alt 'P 1'
_space_group_IT_number 1
_space_group_name_Hall 'P 1'
loop_
_atom_site_label
_atom_site_type_symbol
_atom_site_fract_x
_atom_site_fract_y
_atom_site_fract_z
Ta1 Ta 0.152 0.348 0.000
Ta2 Ta 0.348 0.848 0.000
Ta3 Ta 0.652 0.152 0.000
Ta4 Ta 0.848 0.652 0.000
Ga1 Ga 0.000 0.000 0.000
Ga2 Ga 0.500 0.500 0.000
Se1 Se 0.141 0.641 0.500
Se2 Se 0.359 0.141 0.500
Se3 Se 0.641 0.859 0.500
Se4 Se 0.859 0.359 0.500
```

***

So which one is most stable? That would be ii, about 133 meV/atom below the next structure.

***

## i
First-principles (GGA-PBE) data for crystalline Tb3GaSe2 at its relaxed geometry, as listed in Alexandria via LeMat-Bulk.

## Properties
* magnetization: 0.000 μB per atom

CIF file:
```
data_Tb3GaSe2
_chemical_formula_sum 'Tb12 Ga4 Se8'
_cell_length_a 5.840
_cell_length_b 12.427
_cell_length_c 8.237
_cell_angle_alpha 90.00
_cell_angle_beta 90.01
_cell_angle_gamma 90.00
_space_group_name_H-M_alt 'P 1'
_space_group_IT_number 1
_space_group_name_Hall 'P 1'
loop_
_atom_site_label
_atom_site_type_symbol
_atom_site_fract_x
_atom_site_fract_y
_atom_site_fract_z
Tb1 Tb 0.249 0.083 0.125
Tb2 Tb 0.249 0.417 0.625
Tb3 Tb 0.250 0.081 0.631
Tb4 Tb 0.250 0.419 0.131
Tb5 Tb 0.251 0.749 0.124
Tb6 Tb 0.251 0.751 0.624
Tb7 Tb 0.749 0.249 0.376
Tb8 Tb 0.749 0.251 0.876
Tb9 Tb 0.750 0.581 0.869
Tb10 Tb 0.750 0.919 0.369
Tb11 Tb 0.751 0.583 0.375
Tb12 Tb 0.751 0.917 0.875
Ga1 Ga 0.251 0.586 0.374
Ga2 Ga 0.251 0.914 0.874
Ga3 Ga 0.749 0.086 0.126
Ga4 Ga 0.749 0.414 0.626
Se1 Se 0.249 0.248 0.376
Se2 Se 0.249 0.252 0.876
Se3 Se 0.250 0.583 0.878
Se4 Se 0.250 0.917 0.378
Se5 Se 0.750 0.083 0.622
Se6 Se 0.750 0.417 0.122
Se7 Se 0.751 0.748 0.124
Se8 Se 0.751 0.752 0.624
```

***

## ii
First-principles (GGA-PBE) data for crystalline Tb3GaSe2 at its relaxed geometry, as listed in Alexandria via LeMat-Bulk.

## Properties
* magnetization: 0.000 μB per atom

CIF file:
```
data_Tb3GaSe2
_chemical_formula_sum 'Tb3 Ga1 Se2'
_cell_length_a 7.288
_cell_length_b 7.288
_cell_length_c 7.288
_cell_angle_alpha 147.96
_cell_angle_beta 132.74
_cell_angle_gamma 58.24
_space_group_name_H-M_alt 'P 1'
_space_group_IT_number 1
_space_group_name_Hall 'P 1'
loop_
_atom_site_label
_atom_site_type_symbol
_atom_site_fract_x
_atom_site_fract_y
_atom_site_fract_z
Tb1 Tb 0.000 0.000 0.000
Tb2 Tb 0.334 0.334 0.000
Tb3 Tb 0.666 0.666 0.000
Ga1 Ga 0.500 0.000 0.500
Se1 Se 0.168 0.668 0.500
Se2 Se 0.832 0.332 0.500
```

***

So which one is most stable? That would be ii, about 12 meV/atom below the next structure.

***

## i
First-principles (GGA-PBE) data for crystalline GaTc2Se at its relaxed geometry, as listed in Alexandria via LeMat-Bulk.

## Properties
* magnetization: 0.000 μB per atom

CIF file:
```
data_GaTc2Se
_chemical_formula_sum 'Ga1 Tc2 Se1'
_cell_length_a 4.356
_cell_length_b 4.356
_cell_length_c 4.356
_cell_angle_alpha 60.00
_cell_angle_beta 60.00
_cell_angle_gamma 60.00
_space_group_name_H-M_alt 'P 1'
_space_group_IT_number 1
_space_group_name_Hall 'P 1'
loop_
_atom_site_label
_atom_site_type_symbol
_atom_site_fract_x
_atom_site_fract_y
_atom_site_fract_z
Ga1 Ga 0.000 0.000 0.000
Tc1 Tc 0.250 0.250 0.250
Tc2 Tc 0.750 0.750 0.750
Se1 Se 0.500 0.500 0.500
```

***

## ii
First-principles (GGA-PBE) data for crystalline GaTc2Se at its relaxed geometry, as listed in Alexandria via LeMat-Bulk.

## Properties
* magnetization: 0.251 μB per atom

CIF file:
```
data_GaTc2Se
_chemical_formula_sum 'Ga2 Tc4 Se2'
_cell_length_a 5.747
_cell_length_b 5.747
_cell_length_c 5.747
_cell_angle_alpha 102.39
_cell_angle_beta 102.39
_cell_angle_gamma 124.81
_space_group_name_H-M_alt 'P 1'
_space_group_IT_number 1
_space_group_name_Hall 'P 1'
loop_
_atom_site_label
_atom_site_type_symbol
_atom_site_fract_x
_atom_site_fract_y
_atom_site_fract_z
Ga1 Ga 0.000 0.000 0.000
Ga2 Ga 0.750 0.250 0.500
Tc1 Tc 0.186 0.625 0.061
Tc2 Tc 0.375 0.436 0.561
Tc3 Tc 0.564 0.125 0.939
Tc4 Tc 0.875 0.814 0.439
Se1 Se 0.250 0.750 0.500
Se2 Se 0.500 0.500 0.000
```

***

So which one is most stable? That would be i, about 458 meV/atom below the next structure.

***

## i
First-principles (GGA-PBE) data for crystalline Ga2TcSe at its relaxed geometry, as listed in Alexandria via LeMat-Bulk.

## Properties
* magnetization: 0.000 μB per atom

CIF file:
```
data_Ga2TcSe
_chemical_formula_sum 'Ga2 Tc1 Se1'
_cell_length_a 4.544
_cell_length_b 4.544
_cell_length_c 4.544
_cell_angle_alpha 60.00
_cell_angle_beta 60.00
_cell_angle_gamma 60.00
_space_group_name_H-M_alt 'P 1'
_space_group_IT_number 1
_space_group_name_Hall 'P 1'
loop_
_atom_site_label
_atom_site_type_symbol
_atom_site_fract_x
_atom_site_fract_y
_atom_site_fract_z
Ga1 Ga 0.250 0.250 0.250
Ga2 Ga 0.750 0.750 0.750
Tc1 Tc 0.000 0.000 0.000
Se1 Se 0.500 0.500 0.500
```

***

## ii
First-principles (GGA-PBE) data for crystalline Ga2TcSe at its relaxed geometry, as listed in Alexandria via LeMat-Bulk.

## Properties
* magnetization: 0.341 μB per atom

CIF file:
```
data_Ga2TcSe
_chemical_formula_sum 'Ga4 Tc2 Se2'
_cell_length_a 6.923
_cell_length_b 6.923
_cell_length_c 6.923
_cell_angle_alpha 128.36
_cell_angle_beta 128.36
_cell_angle_gamma 76.05
_space_group_name_H-M_alt 'P 1'
_space_group_IT_number 1
_space_group_name_Hall 'P 1'
loop_
_atom_site_label
_atom_site_type_symbol
_atom_site_fract_x
_atom_site_fract_y
_atom_site_fract_z
Ga1 Ga 0.112 0.625 0.987
Ga2 Ga 0.375 0.362 0.487
Ga3 Ga 0.638 0.125 0.013
Ga4 Ga 0.875 0.888 0.513
Tc1 Tc 0.000 0.000 0.000
Tc2 Tc 0.750 0.250 0.500
Se1 Se 0.250 0.750 0.500
Se2 Se 0.500 0.500 0.000
```

***

So which one is most stable? That would be i, about 68 meV/atom below the next structure.